[1]
Ta2CdIr: optimized geometry, PBE.

Geometry as POSCAR:
```
Ta2CdIr
1.0
-6.6826 -3.6218 -0.8639
2.3828 -2.7959 -6.7102
-1.1249 -5.4052 -2.5079
Ta Ir Cd
4 2 2
direct
0.6778 0.1250 0.2500 Ta
0.8750 0.9278 0.7500 Ta
0.3750 0.3222 0.7500 Ta
0.0722 0.6250 0.2500 Ta
0.0000 0.0000 0.0000 Ir
0.7500 0.2500 0.5000 Ir
0.5000 0.5000 0.0000 Cd
0.2500 0.7500 0.5000 Cd
```

Values from the calculation:
- V (A^3/atom) = 20.0
- E_tot (eV per atom) = -8.0019
- energy of formation (meV/atom) = 368
- space group = I-42d (122)
- D(E_F) (states/eV/f.u.) = 4.23
- crystal system = tetragonal


[2]
BaIrF: optimized geometry, PBE.

Geometry as POSCAR:
```
BaIrF
1.0
0.3891 -2.8607 3.8637
1.9513 1.6978 4.0710
-2.7786 0.7765 3.8652
Ir F Ba
1 1 1
direct
0.5000 0.5000 0.5000 Ir
0.2500 0.2500 0.2500 F
0.7500 0.7500 0.7500 Ba
```

Values from the calculation:
- V (A^3/atom) = 26.4
- E_tot (eV per atom) = -4.1948
- space group = F-43m (216)
- D(E_F) (states/eV/f.u.) = 7.85
- crystal system = cubic
- formation energy without anion corrections (kcal/mol of atoms) = 0.54


[3]
TlP2Au: optimized geometry, PBE.

Geometry as POSCAR:
```
TlP2Au
1.0
3.1560 -0.0122 0.0000
-1.5253 2.7629 0.0000
0.0000 0.0000 9.9418
Tl Au P
1 1 2
direct
0.0000 0.0000 0.5090 Tl
0.5000 0.5000 0.7747 Au
0.5000 0.5000 0.1832 P
0.0000 0.0000 0.0331 P
```

Values from the calculation:
- V (A^3/atom) = 21.6
- E_tot (eV per atom) = -3.7340
- energy of formation (meV/atom) = 382
- space group = Cmm2 (35)
- D(E_F) (states/eV/f.u.) = 1.23
- crystal system = orthorhombic


[4]
Tb2Nd6Y3Th: optimized geometry, PBE.

Geometry as POSCAR:
```
Tb2Nd6Y3Th
1.0
-1.3410 6.1373 -0.2351
0.0332 -3.4110 -5.2806
-11.0177 -3.3541 3.3468
Y Nd Th Tb
3 6 1 2
direct
0.8331 0.1669 0.5000 Y
0.5000 0.5000 0.5000 Y
0.1669 0.8331 0.5000 Y
0.7536 0.7536 0.2486 Nd
0.0832 0.4131 0.2488 Nd
0.2464 0.2464 0.7514 Nd
0.5869 0.9168 0.7512 Nd
0.9168 0.5869 0.7512 Nd
0.4131 0.0832 0.2488 Nd
0.0000 0.0000 0.0000 Th
0.6666 0.3334 0.0000 Tb
0.3334 0.6666 0.0000 Tb
```

Values from the calculation:
- V (A^3/atom) = 33.7
- E_tot (eV per atom) = -5.3606
- energy of formation (meV/atom) = 29
- space group = C2/m (12)
- D(E_F) (states/eV/f.u.) = 16.79
- crystal system = monoclinic


[5]
LiTb2I: optimized geometry, PBE.

Geometry as POSCAR:
```
LiTb2I
1.0
3.6066 0.0000 0.0000
1.8033 3.1234 0.0000
1.8033 1.0411 11.5559
Tb I Li
2 1 1
direct
0.0940 0.0940 0.7179 Tb
0.9060 0.9060 0.2821 Tb
0.5000 0.5000 0.5000 I
0.0000 0.0000 0.0000 Li
```

Values from the calculation:
- V (A^3/atom) = 32.5
- E_tot (eV per atom) = -3.2116
- space group = R-3m (166)
- D(E_F) (states/eV/f.u.) = 5.28
- crystal system = trigonal
- formation energy without anion corrections (kcal/mol of atoms) = -0.70


[6]
MnAl4Co: optimized geometry, PBE.

Geometry as POSCAR:
```
MnAl4Co
1.0
-4.8662 -0.1945 -1.1507
-3.4276 1.3540 3.3853
-2.5951 4.2332 -0.6221
Al Mn Co
4 1 1
direct
0.6252 0.6252 0.1245 Al
0.1245 0.6252 0.6252 Al
0.6252 0.1245 0.6252 Al
0.6252 0.6252 0.6252 Al
0.0000 0.0000 0.0000 Mn
0.2500 0.2500 0.2500 Co
```

Values from the calculation:
- V (A^3/atom) = 14.8
- E_tot (eV per atom) = -4.9749
- energy of formation (meV/atom) = 233
- space group = F-43m (216)
- D(E_F) (states/eV/f.u.) = 4.22
- crystal system = cubic


[7]
GeCIO2: optimized geometry, PBE.

Geometry as POSCAR:
```
GeCIO2
1.0
-1.2857 -1.0919 3.5749
-3.4536 -1.0992 -1.5778
1.5836 -4.0272 -0.6605
O C I Ge
2 1 1 1
direct
0.5000 0.0000 0.0000 O
0.0000 0.5000 0.0000 O
0.0000 0.0000 0.0000 C
0.0000 0.0000 0.5000 I
0.5000 0.5000 0.5000 Ge
```

Values from the calculation:
- V (A^3/atom) = 13.7
- E_tot (eV per atom) = -3.8490
- space group = P4/mmm (123)
- D(E_F) (states/eV/f.u.) = 2.86
- crystal system = tetragonal
- formation energy without anion corrections (kcal/mol of atoms) = 27.96


[8]
Mg2MoIr: optimized geometry, PBE.

Geometry as POSCAR:
```
Mg2MoIr
1.0
-1.3357 5.0352 -2.0520
-3.4517 3.3755 2.8355
4.8202 -2.8334 -0.2924
Mg Ir Mo
2 1 1
direct
0.0229 0.0229 0.0000 Mg
0.7417 0.2417 0.5000 Mg
0.2580 0.7580 0.5000 Ir
0.4775 0.4775 0.0000 Mo
```

Values from the calculation:
- V (A^3/atom) = 16.9
- E_tot (eV per atom) = -5.6536
- energy of formation (meV/atom) = 67
- space group = Imm2 (44)
- D(E_F) (states/eV/f.u.) = 2.93
- crystal system = orthorhombic